Here is a geometry-optimized Cs3Sb5S12 structure from Alexandria via LeMat-Bulk. Energies are from GGA-PBE.

Lattice parameters (Å, degrees): 14.7863 14.7863 14.7863 109.47 109.47 109.47
With the nearest neighbours (Å) after each atom.
Positions (direct):
Sb 0.7500 0.6250 0.3750  4 S 2.41
Sb 0.6250 0.8750 0.2500  4 S 2.41
Sb 0.3750 0.1250 0.7500  4 S 2.41
Sb 0.0000 0.0000 0.0000  6 S 2.78
Sb 0.5000 0.0000 0.0000  6 S 2.78
Sb 0.1250 0.7500 0.3750  4 S 2.41
Sb 0.0000 0.5000 0.5000  6 S 2.78
Sb 0.5000 0.5000 0.5000  6 S 2.78
Sb 0.5000 0.0000 0.5000  6 S 2.78
Sb 0.2500 0.3750 0.6250  4 S 2.41
Sb 0.6250 0.7500 0.8750  4 S 2.41
Sb 0.0000 0.0000 0.5000  6 S 2.78
Sb 0.1250 0.3750 0.2500  4 S 2.41
Sb 0.7500 0.1250 0.8750  4 S 2.41
Sb 0.5000 0.5000 0.0000  6 S 2.78
Sb 0.2500 0.8750 0.1250  4 S 2.41
Sb 0.8750 0.6250 0.7500  4 S 2.41
Sb 0.3750 0.2500 0.1250  4 S 2.41
Sb 0.8750 0.2500 0.6250  4 S 2.41
Sb 0.0000 0.5000 0.0000  6 S 2.78
S 0.0973 0.9069 0.1073  1 Sb 2.41
S 0.9069 0.8096 0.7996  1 Sb 2.41
S 0.4027 0.0100 0.3096  1 Sb 2.41
S 0.4027 0.3927 0.5931  1 Sb 2.41
S 0.0100 0.4027 0.8096  1 Sb 2.41
S 0.3927 0.9900 0.7996  1 Sb 2.41
S 0.2004 0.6904 0.0931  1 Sb 2.41
S 0.8927 0.2996 0.4900  1 Sb 2.41
S 0.5100 0.3096 0.9027  1 Sb 2.41
S 0.1904 0.0931 0.7004  1 Sb 2.41
S 0.5973 0.6073 0.4069  1 Sb 2.41
S 0.7004 0.5931 0.1904  1 Sb 2.41
S 0.9900 0.3927 0.2996  1 Sb 2.41
S 0.6904 0.4900 0.5973  1 Sb 2.41
S 0.9069 0.0973 0.6073  1 Sb 2.41
S 0.7996 0.3096 0.9069  1 Sb 2.41
S 0.1904 0.0973 0.9900  1 Sb 2.41
S 0.1073 0.4069 0.0973  1 Sb 2.41
S 0.7996 0.4900 0.3927  1 Sb 2.41
S 0.0973 0.1904 0.4900  1 Sb 2.41
S 0.4069 0.1073 0.5973  1 Sb 2.41
S 0.9900 0.5973 0.1904  1 Sb 2.41
S 0.0931 0.1904 0.2004  1 Sb 2.41
S 0.7004 0.1073 0.0100  1 Sb 2.41
S 0.5931 0.7004 0.6904  1 Sb 2.41
S 0.6073 0.5973 0.9069  1 Sb 2.41
S 0.4900 0.6904 0.0973  1 Sb 2.41
S 0.1073 0.7004 0.5100  1 Sb 2.41
S 0.9027 0.0931 0.8927  1 Sb 2.41
S 0.8096 0.9069 0.2996  1 Sb 2.41
S 0.6073 0.0100 0.2004  1 Sb 2.41
S 0.2996 0.8927 0.9900  1 Sb 2.41
S 0.5973 0.9900 0.6904  1 Sb 2.41
S 0.3096 0.5100 0.4027  1 Sb 2.41
S 0.2004 0.5100 0.6073  1 Sb 2.41
S 0.0931 0.9027 0.3927  1 Sb 2.41
S 0.5931 0.8927 0.4027  1 Sb 2.41
S 0.8096 0.9027 0.0100  1 Sb 2.41
S 0.3096 0.7996 0.4069  1 Sb 2.41
S 0.8927 0.5931 0.9027  1 Sb 2.41
S 0.9027 0.8096 0.5100  1 Sb 2.41
S 0.2996 0.4069 0.8096  1 Sb 2.41
S 0.4900 0.7996 0.8927  1 Sb 2.41
S 0.5100 0.2004 0.1073  1 Sb 2.41
S 0.0100 0.6073 0.7004  1 Sb 2.41
S 0.4069 0.2996 0.3096  1 Sb 2.41
S 0.6904 0.2004 0.5931  1 Sb 2.41
S 0.3927 0.4027 0.0931  1 Sb 2.41
Cs 0.3750 0.7500 0.6250  8 S 3.44-3.49
Cs 0.8750 0.1250 0.2500  8 S 3.44-3.49
Cs 0.3750 0.6250 0.2500  8 S 3.44-3.49
Cs 0.6250 0.3750 0.7500  8 S 3.44-3.49
Cs 0.2500 0.1250 0.3750  8 S 3.44-3.49
Cs 0.1250 0.2500 0.8750  8 S 3.44-3.49
Cs 0.7500 0.3750 0.1250  8 S 3.44-3.49
Cs 0.8750 0.7500 0.1250  8 S 3.44-3.49
Cs 0.7500 0.8750 0.6250  8 S 3.44-3.49
Cs 0.2500 0.6250 0.8750  8 S 3.44-3.49
Cs 0.1250 0.8750 0.7500  8 S 3.44-3.49
Cs 0.6250 0.2500 0.3750  8 S 3.44-3.49

Summary:
The total magnetic moment is 0.00 Bohr magnetons per cell. The crystal system is cubic. The total energy is -0.1461 Ha/atom. The calculation puts the volume at 31.1 A^3/atom. Its density of states at the Fermi level is 6.01 states/eV per cell. The formation energy from raw total energies comes out at -0.3402 eV per atom.